# 1
Crystalline SmTmZn2Sn2 at its relaxed geometry, computed with PBE.

Cell lengths 4.5327, 4.5327, 15.8401 Å; angles 90.00, 90.00, 120.00 degrees
Atoms (fractional coordinates):
Sm (0.0000, 0.0000, 0.2500)
Sm (0.0000, 0.0000, 0.7500)
Tm (0.0000, 0.0000, 0.0000)
Tm (0.0000, 0.0000, 0.5000)
Zn (0.3333, 0.6667, 0.1571)
Zn (0.3333, 0.6667, 0.3429)
Zn (0.6667, 0.3333, 0.6571)
Zn (0.6667, 0.3333, 0.8429)
Sn (0.3333, 0.6667, 0.6105)
Sn (0.3333, 0.6667, 0.8895)
Sn (0.6667, 0.3333, 0.1105)
Sn (0.6667, 0.3333, 0.3895)

Its offset from the most stable computed form is 18.3 meV/atom. The calculation puts the volume at 23.49 Å³/atom. Its space group is P6_3/mmc.

***

# 2
Crystalline SmSnW at its relaxed geometry, computed with PBE.

Cell lengths 8.2789, 8.2789, 3.6266 Å; angles 90.00, 90.00, 120.00 degrees
Atoms (fractional coordinates):
Sm (0.0000, 0.6649, 0.0000)
Sm (0.3351, 0.3351, 0.0000)
Sm (0.6649, 0.0000, 0.0000)
Sn (0.0000, 0.3322, 0.5000)
Sn (0.3322, 0.0000, 0.5000)
Sn (0.6678, 0.6678, 0.5000)
W (0.0000, 0.0000, 0.5000)
W (0.3333, 0.6667, 0.5000)
W (0.6667, 0.3333, 0.5000)

Its offset from the most stable computed form is 0.0 meV/atom. The calculation puts the volume at 23.93 Å³/atom. Its space group is P-62m.

***

# 3
Crystalline SmSnW at its relaxed geometry, computed with PBE.

Cell lengths 4.9807, 4.9807, 4.9807 Å; angles 60.00, 60.00, 60.00 degrees
Atoms (fractional coordinates):
Sm (0.0000, 0.0000, 0.0000)
Sn (0.7500, 0.7500, 0.7500)
W (0.2500, 0.2500, 0.2500)

Its offset from the most stable computed form is 888.4 meV/atom. The calculation puts the volume at 29.12 Å³/atom. Its space group is F-43m.

***

# 4
Crystalline Sm2YSn7 at its relaxed geometry, computed with PBE.

Cell lengths 13.5356, 13.5356, 4.4959 Å; angles 90.00, 90.00, 161.14 degrees
Atoms (fractional coordinates):
Sm (0.1886, 0.8114, 0.0000)
Sm (0.8114, 0.1886, 0.0000)
Y (0.5000, 0.5000, 0.5000)
Sn (0.0000, 0.0000, 0.0000)
Sn (0.0965, 0.9035, 0.5000)
Sn (0.2884, 0.7116, 0.5000)
Sn (0.4040, 0.5960, 0.0000)
Sn (0.5960, 0.4040, 0.0000)
Sn (0.7116, 0.2884, 0.5000)
Sn (0.9035, 0.0965, 0.5000)

The value obtained for the total energy is -49.6 eV for the cell shown. The calculation puts the volume at 26.63 Å³/atom. Its space group is Cmmm.

***

# 5
Crystalline SmYZn2Sn2 at its relaxed geometry, computed with PBE.

Cell lengths 4.5352, 4.5352, 16.0446 Å; angles 90.00, 90.00, 120.00 degrees
Atoms (fractional coordinates):
Sm (0.0000, 0.0000, 0.2500)
Sm (0.0000, 0.0000, 0.7500)
Y (0.0000, 0.0000, 0.0000)
Y (0.0000, 0.0000, 0.5000)
Zn (0.3333, 0.6667, 0.1575)
Zn (0.3333, 0.6667, 0.3425)
Zn (0.6667, 0.3333, 0.6575)
Zn (0.6667, 0.3333, 0.8425)
Sn (0.3333, 0.6667, 0.6129)
Sn (0.3333, 0.6667, 0.8871)
Sn (0.6667, 0.3333, 0.1129)
Sn (0.6667, 0.3333, 0.3871)

Its offset from the most stable computed form is 6.4 meV/atom. The calculation puts the volume at 23.82 Å³/atom. Its space group is P6_3/mmc.

***

# 6
Crystalline SmYZn2Sn2 at its relaxed geometry, computed with PBE.

Cell lengths 4.5277, 4.5277, 16.0555 Å; angles 90.00, 90.00, 120.00 degrees
Atoms (fractional coordinates):
Sm (0.0000, 0.0000, 0.0000)
Sm (0.0000, 0.0000, 0.5000)
Y (0.0000, 0.0000, 0.2500)
Y (0.0000, 0.0000, 0.7500)
Zn (0.3333, 0.6667, 0.1601)
Zn (0.3333, 0.6667, 0.3399)
Zn (0.6667, 0.3333, 0.6601)
Zn (0.6667, 0.3333, 0.8399)
Sn (0.3333, 0.6667, 0.6159)
Sn (0.3333, 0.6667, 0.8841)
Sn (0.6667, 0.3333, 0.1159)
Sn (0.6667, 0.3333, 0.3841)

Its offset from the most stable computed form is 0.0 meV/atom. The calculation puts the volume at 23.75 Å³/atom. Its space group is P6_3/mmc.

***

# 7
Crystalline Sm3Zr2Sn2 at its relaxed geometry, computed with PBE.

Cell lengths 11.2485, 11.2485, 4.1096 Å; angles 90.00, 90.00, 157.64 degrees
Atoms (fractional coordinates):
Sm (0.0000, 0.0000, 0.0000)
Sm (0.1617, 0.8383, 0.0000)
Sm (0.8383, 0.1617, 0.0000)
Zr (0.4307, 0.5693, 0.5000)
Zr (0.5693, 0.4307, 0.5000)
Sn (0.2930, 0.7070, 0.5000)
Sn (0.7070, 0.2930, 0.5000)

The value obtained for the total energy is -40.3 eV for the cell shown. The calculation puts the volume at 28.25 Å³/atom. Its space group is Cmmm.

***

# 8
Crystalline SmZr6Sn4 at its relaxed geometry, computed with PBE.

Cell lengths 8.7995, 8.7995, 8.7995 Å; angles 40.63, 40.63, 40.63 degrees
Atoms (fractional coordinates):
Sm (0.0000, 0.0000, 0.0000)
Zr (0.1075, 0.6037, 0.6037)
Zr (0.3963, 0.3963, 0.8925)
Zr (0.3963, 0.8925, 0.3963)
Zr (0.6037, 0.1075, 0.6037)
Zr (0.6037, 0.6037, 0.1075)
Zr (0.8925, 0.3963, 0.3963)
Sn (0.1245, 0.1245, 0.1245)
Sn (0.3327, 0.3327, 0.3327)
Sn (0.6673, 0.6673, 0.6673)
Sn (0.8755, 0.8755, 0.8755)

The value obtained for the total energy is -77.9 eV for the cell shown. The calculation puts the volume at 23.69 Å³/atom. Its space group is R-3m.

***

Magnetic moment values, unit μB per cell, following the record order: 0.00, 0.57, 2.97, 0.00, 0.00, 0.00, 1.10, 0.01.